The following is a PBE with a Hubbard U calculation of a relaxed ScVF2 crystal, from the Alexandria database.

Cell: 4.3172 4.3172 4.3172 Å, 60.00 60.00 60.00°
Last column: nearest neighbours and their distance in Å.
Positions (direct):
F: 0.7500 0.7500 0.7500  4 V 2.64, 4 Sc 2.64
F: 0.2500 0.2500 0.2500  4 Sc 2.64, 4 V 2.64
V: 0.5000 0.5000 0.5000  8 F 2.64
Sc: 0.0000 0.0000 0.0000  8 F 2.64

Output
Symmetry   Fm-3m
Raw total energy   -5.4016 eV per atom
Calculated volume   56.9 Å³ per cell